1.
! PBE-GGA NdHo3Er4, relaxed; values from VASP
! - Calculated volume: 507 Å³/cell
! - Excess energy over the best structure of this formula in the dataset: 0.000 eV per atom
! - Density of states at the Fermi level: 25.96 states/eV per cell
! - Spin magnetization: 0.000 μB per atom
! - Energy of formation from the pure elements: 0.01 eV per atom
! - Space-group type: Pmn2_1
&SYSTEM
  ibrav = 0, nat = 16, ntyp = 3
/
ATOMIC_SPECIES
Nd 144.24 Nd.upf
Ho 164.93 Ho.upf
Er 167.26 Er.upf
CELL_PARAMETERS angstrom
11.207 0.000 0.000
0.000 7.235 0.000
0.000 0.000 6.247
ATOMIC_POSITIONS angstrom
Nd 0.000 0.914 0.000
Nd 5.603 6.321 3.123
Ho 0.000 6.321 3.120
Ho 2.803 0.917 2.086
Ho 2.800 6.319 5.209
Ho 5.603 0.915 6.243
Ho 8.404 0.917 2.086
Ho 8.406 6.319 5.209
Er 0.000 2.725 3.130
Er 0.000 4.512 6.246
Er 2.780 4.511 2.085
Er 2.823 2.725 5.208
Er 5.603 2.724 3.122
Er 5.603 4.510 0.007
Er 8.384 2.725 5.208
Er 8.426 4.511 2.085


2.
! PBE-GGA NdHo2Er5, relaxed; values from VASP
! - Calculated volume: 517 Å³/cell
! - Excess energy over the best structure of this formula in the dataset: 0.128 eV per atom
! - Density of states at the Fermi level: 25.21 states/eV per cell
! - Spin magnetization: 0.000 μB per atom
! - Energy of formation from the pure elements: 0.15 eV per atom
! - Space-group type: Cmcm
&SYSTEM
  ibrav = 0, nat = 16, ntyp = 3
/
ATOMIC_SPECIES
Nd 144.24 Nd.upf
Ho 164.93 Ho.upf
Er 167.26 Er.upf
CELL_PARAMETERS angstrom
2.804 -8.098 0.000
2.804 8.098 0.000
0.000 0.000 11.382
ATOMIC_POSITIONS angstrom
Nd 2.804 4.420 8.536
Nd 2.804 -4.420 2.845
Ho 2.804 4.659 0.917
Ho 2.804 4.659 4.774
Ho 2.804 -4.659 6.608
Ho 2.804 -4.659 10.465
Er 2.804 7.396 6.969
Er 2.804 7.396 10.103
Er 2.804 1.678 2.845
Er 2.804 1.409 6.574
Er 2.804 1.409 10.499
Er 2.804 -1.409 0.883
Er 2.804 -1.409 4.808
Er 2.804 -1.678 8.536
Er 2.804 -7.396 1.279
Er 2.804 -7.396 4.412


3.
! PBE-GGA NdHo2Er, relaxed; values from VASP
! - Calculated volume: 127 Å³/cell
! - Excess energy over the best structure of this formula in the dataset: 0.000 eV per atom
! - Density of states at the Fermi level: 4.81 states/eV per cell
! - Spin magnetization: 0.000 μB per atom
! - Energy of formation from the pure elements: 0.00 eV per atom
! - Space-group type: P-3m1
&SYSTEM
  ibrav = 0, nat = 4, ntyp = 3
/
ATOMIC_SPECIES
Nd 144.24 Nd.upf
Ho 164.93 Ho.upf
Er 167.26 Er.upf
CELL_PARAMETERS angstrom
3.575 0.000 0.000
-1.788 3.096 0.000
0.000 0.000 11.471
ATOMIC_POSITIONS angstrom
Nd 0.000 0.000 0.000
Ho 0.000 2.064 2.912
Ho 1.788 1.032 8.559
Er 0.000 0.000 5.735


4.
! PBE-GGA NdHo12Er3, relaxed; values from VASP
! - Calculated volume: 498 Å³/cell
! - Density of states at the Fermi level: 20.92 states/eV per cell
! - Spin magnetization: 0.000 μB per atom
! - Energy of formation from the pure elements: 0.02 eV per atom
! - Space-group type: P4/mmm
&SYSTEM
  ibrav = 0, nat = 16, ntyp = 3
/
ATOMIC_SPECIES
Nd 144.24 Nd.upf
Ho 164.93 Ho.upf
Er 167.26 Er.upf
CELL_PARAMETERS angstrom
4.993 0.000 0.000
0.000 4.993 0.000
0.000 0.000 19.962
ATOMIC_POSITIONS angstrom
Nd 0.000 0.000 0.000
Ho 0.000 2.496 2.539
Ho 0.000 2.496 7.500
Ho 0.000 2.496 12.462
Ho 0.000 2.496 17.423
Ho 2.496 0.000 2.539
Ho 2.496 0.000 7.500
Ho 2.496 0.000 12.462
Ho 2.496 0.000 17.423
Ho 2.496 2.496 0.000
Ho 2.496 2.496 5.027
Ho 2.496 2.496 9.981
Ho 2.496 2.496 14.935
Er 0.000 0.000 5.016
Er 0.000 0.000 9.981
Er 0.000 0.000 14.945


5.
! PBE-GGA NdHoEr2, relaxed; values from VASP
! - Calculated volume: 127 Å³/cell
! - Excess energy over the best structure of this formula in the dataset: 0.024 eV per atom
! - Density of states at the Fermi level: 5.65 states/eV per cell
! - Spin magnetization: 0.000 μB per atom
! - Energy of formation from the pure elements: 0.03 eV per atom
! - Space-group type: P4/mmm
&SYSTEM
  ibrav = 0, nat = 4, ntyp = 3
/
ATOMIC_SPECIES
Nd 144.24 Nd.upf
Ho 164.93 Ho.upf
Er 167.26 Er.upf
CELL_PARAMETERS angstrom
3.556 0.000 0.000
0.000 3.556 0.000
0.000 0.000 10.054
ATOMIC_POSITIONS angstrom
Nd 0.000 0.000 0.000
Ho 0.000 0.000 5.027
Er 1.778 1.778 2.565
Er 1.778 1.778 7.489


6.
! PBE-GGA NdHoEr5, relaxed; values from VASP
! - Calculated volume: 447 Å³/cell
! - Excess energy over the best structure of this formula in the dataset: 0.000 eV per atom
! - Density of states at the Fermi level: 19.12 states/eV per cell
! - Spin magnetization: 0.000 μB per atom
! - Energy of formation from the pure elements: 0.20 eV per atom
! - Space-group type: C2/c
&SYSTEM
  ibrav = 0, nat = 14, ntyp = 3
/
ATOMIC_SPECIES
Nd 144.24 Nd.upf
Ho 164.93 Ho.upf
Er 167.26 Er.upf
CELL_PARAMETERS angstrom
5.795 -3.375 0.000
5.795 3.375 0.000
-4.016 0.000 11.427
ATOMIC_POSITIONS angstrom
Nd 2.898 1.688 0.000
Nd 0.889 -1.688 5.714
Ho 2.783 3.189 8.570
Ho 4.791 -3.189 2.857
Er 0.218 0.964 8.544
Er 2.902 1.526 5.726
Er 2.664 1.526 11.414
Er 4.791 0.555 2.857
Er 2.226 -0.964 2.831
Er 5.348 0.964 8.597
Er 2.783 -0.555 8.570
Er 4.910 -1.526 0.013
Er 4.672 -1.526 5.701
Er 7.357 -0.964 2.883


7.
! PBE-GGA Nd2Ho4Er5, relaxed; values from VASP
! - Calculated volume: 361 Å³/cell
! - Excess energy over the best structure of this formula in the dataset: 0.192 eV per atom
! - Density of states at the Fermi level: 16.22 states/eV per cell
! - Spin magnetization: 0.000 μB per atom
! - Energy of formation from the pure elements: 0.21 eV per atom
! - Space-group type: Immm
&SYSTEM
  ibrav = 0, nat = 11, ntyp = 3
/
ATOMIC_SPECIES
Nd 144.24 Nd.upf
Ho 164.93 Ho.upf
Er 167.26 Er.upf
CELL_PARAMETERS angstrom
-1.740 4.490 11.567
1.740 -4.490 11.567
1.740 4.490 -11.567
ATOMIC_POSITIONS angstrom
Nd 0.000 0.000 5.384
Nd 0.000 0.000 17.751
Ho 0.000 0.000 2.245
Ho 1.740 1.710 0.000
Ho 0.000 2.780 11.567
Ho 0.000 0.000 20.890
Er 1.740 2.750 -3.257
Er 1.740 2.750 3.257
Er 0.000 4.490 0.000
Er 0.000 1.740 8.310
Er 0.000 1.740 14.824


8.
! PBE-GGA Nd3HoEr12, relaxed; values from VASP
! - Calculated volume: 503 Å³/cell
! - Density of states at the Fermi level: 22.08 states/eV per cell
! - Spin magnetization: 0.000 μB per atom
! - Energy of formation from the pure elements: 0.02 eV per atom
! - Space-group type: P4/mmm
&SYSTEM
  ibrav = 0, nat = 16, ntyp = 3
/
ATOMIC_SPECIES
Nd 144.24 Nd.upf
Ho 164.93 Ho.upf
Er 167.26 Er.upf
CELL_PARAMETERS angstrom
5.009 0.000 0.000
0.000 5.009 0.000
0.000 0.000 20.050
ATOMIC_POSITIONS angstrom
Nd 0.000 0.000 0.000
Nd 0.000 0.000 5.029
Nd 0.000 0.000 15.022
Ho 0.000 0.000 10.025
Er 0.000 2.504 2.519
Er 0.000 2.504 7.558
Er 0.000 2.504 12.492
Er 0.000 2.504 17.532
Er 2.504 0.000 2.519
Er 2.504 0.000 7.558
Er 2.504 0.000 12.492
Er 2.504 0.000 17.532
Er 2.504 2.504 0.000
Er 2.504 2.504 5.044
Er 2.504 2.504 10.025
Er 2.504 2.504 15.006